*1*
VASP calculation (PBE-GGA) on crystalline DyErNi at its relaxed geometry.

```
3
Lattice="3.383 0.000 0.000 0.000 3.383 0.000 -1.692 -1.692 6.178" Properties=species:S:1:pos:R:3 pbc="T T T"
Ni 1.692 1.692 2.037
Er 0.000 0.000 0.447
Dy 0.000 0.000 3.694
```

Results
- Fermi-level density of states (states/eV per cell) = 2.37



*2*
VASP calculation (PBE-GGA) on crystalline DyErNi at its relaxed geometry.

```
6
Lattice="4.832 0.287 -1.464 -2.326 5.213 -0.941 -0.046 0.827 5.725" Properties=species:S:1:pos:R:3 pbc="T T T"
Dy 1.243 3.566 3.891
Dy 0.373 5.239 1.349
Er 4.137 2.020 -0.086
Er -1.355 5.773 4.262
Ni 3.324 3.979 1.481
Ni 1.730 2.306 0.926
```

Results
- Fermi-level density of states (states/eV per cell) = 5.00



*3*
VASP calculation (PBE-GGA) on crystalline DyErNi at its relaxed geometry.

```
3
Lattice="-1.306 -3.681 0.228 3.801 0.693 -0.615 0.965 0.029 5.993" Properties=species:S:1:pos:R:3 pbc="T T T"
Ni 0.720 -2.213 1.958
Dy 0.089 0.003 0.554
Er 2.650 -0.749 3.093
```

Results
- Fermi-level density of states (states/eV per cell) = 1.71



Relative energies, in meV/atom, with the most stable structure set to zero: *1* 0; *2* 248; *3* 88.



*1*
VASP calculation (PBE-GGA) on crystalline Dy3ErNi at its relaxed geometry.

```
10
Lattice="-3.426 1.174 -0.240 -2.675 -3.188 -4.868 -5.522 -9.269 6.029" Properties=species:S:1:pos:R:3 pbc="T T T"
Dy -4.841 -3.700 -3.897
Dy -8.788 -8.608 0.978
Dy -4.176 -6.004 2.788
Dy -8.655 -7.526 4.389
Dy -4.852 -2.549 1.898
Dy -6.096 -6.561 0.025
Er -3.347 -4.283 -0.621
Er -2.305 -1.614 -2.441
Ni -4.350 -1.606 -0.661
Ni -6.608 -7.528 2.595
```

Results
- Fermi-level density of states (states/eV per cell) = 12.93



*2*
VASP calculation (PBE-GGA) on crystalline Dy3ErNi at its relaxed geometry.

```
5
Lattice="5.295 0.000 0.000 0.000 5.295 0.000 0.000 0.000 5.295" Properties=species:S:1:pos:R:3 pbc="T T T"
Ni 0.000 0.000 0.000
Dy 0.000 2.648 0.000
Dy 0.000 0.000 2.648
Dy 2.648 0.000 0.000
Er 2.648 2.648 2.648
```

Results
- Fermi-level density of states (states/eV per cell) = 9.85



Relative energies, in meV/atom, with the most stable structure set to zero: *1* 0; *2* 157.



*1*
VASP calculation (PBE-GGA) on crystalline DyEr2Ni2 at its relaxed geometry.

```
5
Lattice="3.749 0.000 0.000 0.000 5.464 0.085 -1.875 -1.482 5.478" Properties=species:S:1:pos:R:3 pbc="T T T"
Dy 0.000 0.000 0.000
Er 0.000 1.204 3.888
Er 1.875 2.778 1.676
Ni 1.875 -0.007 2.340
Ni 0.000 3.989 3.224
```

Results
- Fermi-level density of states (states/eV per cell) = 6.08



*2*
VASP calculation (PBE-GGA) on crystalline DyEr2Ni2 at its relaxed geometry.

```
10
Lattice="-2.532 -2.536 -0.547 0.970 -0.092 -4.067 11.402 -9.427 2.934" Properties=species:S:1:pos:R:3 pbc="T T T"
Dy 7.896 -8.098 0.992
Dy 1.945 -3.956 -2.672
Er 1.197 -1.030 -0.766
Er 8.643 -11.024 -0.914
Er 3.317 -5.870 -0.151
Er 6.524 -6.184 -1.529
Ni 3.158 -3.099 -0.251
Ni 6.682 -8.955 -1.428
Ni 9.863 -10.173 1.508
Ni -0.022 -1.881 -3.188
```

Results
- Fermi-level density of states (states/eV per cell) = 8.97



Relative energies, in meV/atom, with the most stable structure set to zero: *1* 48; *2* 0.



*1*
VASP calculation (PBE-GGA) on crystalline DyErNiRh at its relaxed geometry.

```
4
Lattice="-3.034 2.148 3.035 -3.954 -2.292 1.463 -0.346 -1.533 4.535" Properties=species:S:1:pos:R:3 pbc="T T T"
Ni -1.834 -0.419 2.258
Dy 0.000 0.000 0.000
Rh -5.501 -1.258 6.774
Er -3.667 -0.838 4.516
```

Results
- Fermi-level density of states (states/eV per cell) = 1.85



*2*
VASP calculation (PBE-GGA) on crystalline DyErNiRh at its relaxed geometry.

```
4
Lattice="3.791 0.000 0.000 0.000 4.121 0.000 -1.895 0.000 5.233" Properties=species:S:1:pos:R:3 pbc="T T T"
Dy 0.000 0.000 1.483
Er 1.895 2.061 3.759
Ni 1.895 2.061 0.824
Rh 0.000 0.000 4.400
```

Results
- Fermi-level density of states (states/eV per cell) = 2.31



Relative energies, in meV/atom, with the most stable structure set to zero: *1* 18; *2* 0.



*1*
VASP calculation (PBE-GGA) on crystalline DyErNiRu at its relaxed geometry.

```
4
Lattice="4.773 0.000 0.000 2.387 4.134 0.000 2.387 1.378 3.897" Properties=species:S:1:pos:R:3 pbc="T T T"
Ru 7.160 4.134 2.923
Dy 4.773 2.756 1.949
Ni 2.387 1.378 0.974
Er 0.000 0.000 0.000
```

Results
- Fermi-level density of states (states/eV per cell) = 2.49



*2*
VASP calculation (PBE-GGA) on crystalline DyErNiRu at its relaxed geometry.

```
4
Lattice="-3.383 -0.118 0.079 0.104 -3.343 -0.528 0.191 -1.041 6.636" Properties=species:S:1:pos:R:3 pbc="T T T"
Dy 0.164 -0.894 5.698
Er 0.068 -0.370 2.361
Ni -1.524 -2.359 3.780
Ru -1.618 -1.845 0.505
```

Results
- Fermi-level density of states (states/eV per cell) = 1.81



Relative energies, in meV/atom, with the most stable structure set to zero: *1* 19; *2* 0.



*1*
VASP calculation (PBE-GGA) on crystalline DyErSiNi at its relaxed geometry.

```
4
Lattice="4.860 0.000 0.000 2.430 4.209 0.000 2.430 1.403 3.968" Properties=species:S:1:pos:R:3 pbc="T T T"
Ni 0.000 0.000 0.000
Si 4.860 2.806 1.984
Dy 7.290 4.209 2.976
Er 2.430 1.403 0.992
```

Results
- Fermi-level density of states (states/eV per cell) = 1.48



*2*
VASP calculation (PBE-GGA) on crystalline DyErSiNi at its relaxed geometry.

```
4
Lattice="-3.042 -1.673 1.880 -1.465 -1.301 -3.528 4.280 -3.620 -0.442" Properties=species:S:1:pos:R:3 pbc="T T T"
Dy -0.276 -4.682 -0.467
Er 0.769 -1.241 0.139
Si -1.873 -2.101 -0.756
Ni 2.392 -3.863 0.432
```

Results
- Fermi-level density of states (states/eV per cell) = 3.62



Relative energies, in meV/atom, with the most stable structure set to zero: *1* 161; *2* 0.



*1*
VASP calculation (PBE-GGA) on crystalline Dy2ErO at its relaxed geometry.

```
4
Lattice="-1.075 3.259 0.779 -3.367 0.904 -0.480 -3.307 -1.138 8.146" Properties=species:S:1:pos:R:3 pbc="T T T"
Dy -5.980 2.037 7.073
Dy -1.770 0.988 1.372
O 0.000 0.000 0.000
Er -3.875 1.513 4.222
```

Results
- Fermi-level density of states (states/eV per cell) = 4.83



*2*
VASP calculation (PBE-GGA) on crystalline Dy2ErO at its relaxed geometry.

```
4
Lattice="3.187 0.000 0.000 0.000 3.187 0.000 0.000 0.000 8.636" Properties=species:S:1:pos:R:3 pbc="T T T"
Dy 0.000 0.000 7.110
Dy 0.000 0.000 1.526
O 1.594 1.594 0.000
Er 1.594 1.594 4.318
```

Results
- Fermi-level density of states (states/eV per cell) = 4.98



Relative energies, in meV/atom, with the most stable structure set to zero: *1* 0; *2* 512.



*1*
VASP calculation (PBE-GGA) on crystalline DyEr2O at its relaxed geometry.

```
4
Lattice="-0.246 -3.173 1.399 1.714 -0.745 2.932 -6.308 1.261 6.070" Properties=species:S:1:pos:R:3 pbc="T T T"
Dy -2.420 -1.329 5.201
O 0.000 0.000 0.000
Er -0.588 -0.899 2.177
Er -4.252 -1.758 8.224
```

Results
- Fermi-level density of states (states/eV per cell) = 4.54



*2*
VASP calculation (PBE-GGA) on crystalline DyEr2O at its relaxed geometry.

```
4
Lattice="-2.473 1.126 -1.638 0.409 -2.270 -2.179 -5.271 -5.173 4.400" Properties=species:S:1:pos:R:3 pbc="T T T"
Dy -3.667 -3.158 0.292
O -1.032 -0.572 -1.908
Er -4.333 -4.252 3.616
Er -0.939 -0.921 0.784
```

Results
- Fermi-level density of states (states/eV per cell) = 4.89



Relative energies, in meV/atom, with the most stable structure set to zero: *1* 0; *2* 538.



*1*
VASP calculation (PBE-GGA) on crystalline DyErOs at its relaxed geometry.

```
12
Lattice="-4.084 -6.788 -1.124 4.151 -0.682 -3.582 3.767 -0.826 5.734" Properties=species:S:1:pos:R:3 pbc="T T T"
Os 4.747 -4.492 1.184
Os 2.010 -6.691 0.961
Os -0.913 -3.804 -0.156
Os 1.824 -1.604 0.067
Dy 4.756 -1.873 0.265
Dy 0.016 -5.429 -2.582
Dy -0.923 -6.423 0.763
Dy 3.818 -2.866 3.610
Er 3.133 -1.674 -2.735
Er 2.456 -4.394 -0.848
Er 0.700 -6.622 3.763
Er 1.378 -3.901 1.876
```

Results
- Fermi-level density of states (states/eV per cell) = 7.70



*2*
VASP calculation (PBE-GGA) on crystalline DyErOs at its relaxed geometry.

```
3
Lattice="4.758 0.000 0.000 2.379 4.121 0.000 2.379 1.374 3.885" Properties=species:S:1:pos:R:3 pbc="T T T"
Dy 4.758 2.747 1.942
Os 2.379 1.374 0.971
Er 0.000 0.000 0.000
```

Results
- Fermi-level density of states (states/eV per cell) = 1.47



Relative energies, in meV/atom, with the most stable structure set to zero: *1* 81; *2* 0.



*1*
VASP calculation (PBE-GGA) on crystalline DyErPa at its relaxed geometry.

```
3
Lattice="-1.977 2.588 0.956 -1.547 -0.065 -3.021 -3.288 -6.111 3.721" Properties=species:S:1:pos:R:3 pbc="T T T"
Er -6.715 -3.495 1.606
Pa -3.371 -3.237 1.795
Dy -3.536 -0.442 -0.087
```

Results
- Fermi-level density of states (states/eV per cell) = 5.30



*2*
VASP calculation (PBE-GGA) on crystalline DyErPa at its relaxed geometry.

```
3
Lattice="-1.485 -2.476 1.818 3.354 0.553 0.291 -1.454 5.501 6.304" Properties=species:S:1:pos:R:3 pbc="T T T"
Pa -0.001 0.004 0.005
Dy 0.754 3.279 5.081
Er -0.337 0.294 3.327
```

Results
- Fermi-level density of states (states/eV per cell) = 4.34



Relative energies, in meV/atom, with the most stable structure set to zero: *1* 32; *2* 0.



*1*
VASP calculation (PBE-GGA) on crystalline DyErPa at its relaxed geometry.

```
12
Lattice="-5.020 2.033 0.819 -2.487 -3.148 -7.431 -2.287 -7.182 3.809" Properties=species:S:1:pos:R:3 pbc="T T T"
Pa -2.746 -6.291 -1.215
Pa -4.507 -3.656 -0.238
Pa -5.287 -4.642 -2.566
Pa -2.029 -4.040 -2.408
Er -3.218 -6.217 -4.294
Er -5.661 -6.548 -0.130
Er -4.133 -1.750 -2.674
Er -1.557 -4.114 0.671
Dy -1.902 -2.407 -5.681
Dy -4.259 -4.475 3.321
Dy -3.048 -0.675 1.306
Dy -0.586 -0.741 -1.750
```

Results
- Fermi-level density of states (states/eV per cell) = 20.86



*2*
VASP calculation (PBE-GGA) on crystalline DyErPa at its relaxed geometry.

```
6
Lattice="-0.953 -3.363 4.138 -3.625 -3.989 -0.532 4.893 -4.147 -2.244" Properties=species:S:1:pos:R:3 pbc="T T T"
Dy -2.725 -7.223 1.429
Dy -0.624 -5.686 3.162
Er 0.083 -5.859 -0.361
Er -2.479 -3.687 0.814
Pa -0.278 -9.297 0.307
Pa 1.822 -7.760 2.040
```

Results
- Fermi-level density of states (states/eV per cell) = 12.83



Relative energies, in meV/atom, with the most stable structure set to zero: *1* 289; *2* 0.



*1*
VASP calculation (PBE-GGA) on crystalline Dy2ErPa at its relaxed geometry.

```
4
Lattice="-0.296 -1.612 3.087 1.198 -5.058 -2.526 5.633 0.844 0.981" Properties=species:S:1:pos:R:3 pbc="T T T"
Pa 3.268 -2.913 0.771
Dy 2.816 0.422 0.491
Dy 0.599 -2.529 -1.263
Er -0.148 -0.806 1.544
```

Results
- Fermi-level density of states (states/eV per cell) = 7.82



*2*
VASP calculation (PBE-GGA) on crystalline Dy2ErPa at its relaxed geometry.

```
4
Lattice="3.405 0.000 0.000 0.000 3.405 0.000 0.000 0.000 10.131" Properties=species:S:1:pos:R:3 pbc="T T T"
Pa 1.702 1.702 0.000
Dy 0.000 0.000 7.751
Dy 0.000 0.000 2.380
Er 1.702 1.702 5.065
```

Results
- Fermi-level density of states (states/eV per cell) = 6.31



*3*
VASP calculation (PBE-GGA) on crystalline Dy2ErPa at its relaxed geometry.

```
4
Lattice="3.322 0.000 0.000 1.661 2.877 0.000 1.661 0.959 12.164" Properties=species:S:1:pos:R:3 pbc="T T T"
Pa 0.000 0.000 0.000
Dy 1.661 0.959 8.963
Dy 4.983 2.877 3.201
Er 3.322 1.918 6.082
```

Results
- Fermi-level density of states (states/eV per cell) = 5.52



*4*
VASP calculation (PBE-GGA) on crystalline Dy2ErPa at its relaxed geometry.

```
4
Lattice="3.422 0.000 0.000 1.711 2.964 0.000 1.711 0.988 11.462" Properties=species:S:1:pos:R:3 pbc="T T T"
Dy 1.711 0.988 8.525
Dy 1.711 0.988 2.948
Er 3.422 1.976 0.008
Pa 3.422 1.976 5.714
```

Results
- Fermi-level density of states (states/eV per cell) = 6.01



Relative energies, in meV/atom, with the most stable structure set to zero: *1* 185; *2* 20; *3* 163; *4* 0.